VASP calculation (PBE) on a relaxed GaHRh3 crystal.

Computed properties:
Total magnetization: 0.00 μB/f.u.
Energy above the most stable polymorph in this dataset: 0.065 eV per atom
DOS at the Fermi energy: 21.3 states/eV/cell
V: 239 Å³/cell

Cell lengths 16.162, 3.772, 4.052 Å; angles 90.00, 104.49, 90.00 degrees
Space group C2/m (No. 12)
One atom of each set of equivalent atoms:
Ga: 0.070 0.000 0.320
H: 0.179 0.500 0.927
Rh: 0.056 0.500 0.806
Rh: 0.183 0.500 0.433
Rh: 0.188 0.000 0.938



VASP calculation (PBE) on a relaxed KSiAsSe2 crystal.

Computed properties:
Total magnetization: 0.00 μB/f.u.
Formation energy (no corrections): -73 meV/atom
Energy above the most stable polymorph in this dataset: 0.000 eV per atom
DOS at the Fermi energy: 4.5 states/eV/cell
V: 126 Å³/cell

Cell lengths 5.135, 5.135, 4.773 Å; angles 90.00, 90.00, 90.00 degrees
Space group P4/mmm (No. 123)
One atom of each set of equivalent atoms:
K: 0.000 0.000 0.000
Si: 0.500 0.500 0.500
As: 0.500 0.500 0.000
Se: 0.000 0.500 0.500



VASP calculation (PBE) on a relaxed HfAsPb3 crystal.

Computed properties:
Calculated formation energy: 0.92 eV/atom
Total magnetization: 0.00 μB/f.u.
Energy above the most stable polymorph in this dataset: 0.197 eV per atom
DOS at the Fermi energy: 6.8 states/eV/cell
V: 163 Å³/cell

Cell lengths 5.466, 5.466, 5.466 Å; angles 90.00, 90.00, 90.00 degrees
Space group Pm-3m (No. 221)
One atom of each set of equivalent atoms:
Hf: 0.000 0.000 0.000
As: 0.500 0.500 0.500
Pb: 0.000 0.500 0.500



VASP calculation (PBE) on a relaxed Zr2BeAu crystal.

Computed properties:
Calculated formation energy: -0.18 eV/atom
Total magnetization: 0.00 μB/f.u.
DOS at the Fermi energy: 6.3 states/eV/cell
V: 147 Å³/cell

Cell lengths 5.715, 7.905, 3.260 Å; angles 90.00, 90.00, 90.00 degrees
Space group Cmmm (No. 65)
One atom of each set of equivalent atoms:
Zr: 0.250 0.250 0.000
Be: 0.000 0.000 0.500
Au: 0.000 0.500 0.500



Question: Which value of total magnetization does entry 2 give?
Answer: 0.00 μB/f.u.



Question: Which of these has the lowest DOS at the Fermi energy?
Answer: KSiAsSe2